A geometry-optimized ScGaRePb2 structure, computed with PBE-GGA. Values from VASP.

As for the formation energy from the elements: 1.16 eV per atom. For the magnetization, the calculation gives 2.095 μB/f.u.

Structure (Quantum ESPRESSO input):
```
&SYSTEM
  ibrav = 0, nat = 5, ntyp = 4
/
ATOMIC_SPECIES
Sc 44.96 Sc.upf
Ga 69.72 Ga.upf
Re 186.21 Re.upf
Pb 207.20 Pb.upf
ATOMIC_POSITIONS crystal
Sc 0.000 0.000 0.000
Ga 0.500 0.500 0.500
Re 0.000 0.000 0.500
Pb 0.000 0.500 0.000
Pb 0.500 0.000 0.000
CELL_PARAMETERS angstrom
5.607 0.000 0.000
0.000 5.607 0.000
0.000 0.000 4.855
```